This record from Alexandria via LeMat-Bulk describes crystalline CaTl2Pd at its relaxed geometry. The functional is PBE-GGA.

Output
DFT formation energy: -0.303 eV/atom

Unit cell a=3.548 b=3.548 c=7.523 alpha=90.00 beta=90.00 gamma=90.00
Space group P4/mmm (No. 123)
Unique sites:
Ca 0.000 0.000 0.000 x1
Tl 0.500 0.500 0.290 x2
Pd 0.000 0.000 0.500 x1

---

This record from Alexandria via LeMat-Bulk describes crystalline K4Pa3NiTe8 at its relaxed geometry. The functional is PBE-GGA.

Output
ΔE_f (raw): -791 meV/atom

Unit cell a=15.233 b=8.769 c=9.765 alpha=90.00 beta=121.38 gamma=90.00
Space group C2/m (No. 12)
Unique sites:
K 0.000 0.000 0.000 x2
K 0.000 0.500 0.000 x2
K 0.250 0.250 0.000 x4
Pa 0.000 0.000 0.500 x2
Pa 0.250 0.250 0.500 x4
Ni 0.000 0.500 0.500 x2
Te 0.012 0.265 0.301 x8
Te 0.225 0.500 0.701 x4
Te 0.239 0.000 0.718 x4

---

Record order is preserved below.
E: -3.28; -4.78 eV/atom
Record order is preserved below.
DOS at the Fermi energy: 0.49; 1.55 states/eV/atom